Entry 1:
{
  "formula": "CaOs2Rh",
  "functional": "GGA-PBE",
  "state": "relaxed",
  "lattice": [[2.8683, 0.0000, 0.0000], [0.0000, 2.8683, 0.0000], [0.0000, 0.0000, 8.1761]],
  "species": ["Ca", "Os", "Os", "Rh"],
  "fractional_positions": [[0.0000, 0.0000, 0.0000], [0.0000, 0.0000, 0.4940], [0.5000, 0.5000, 0.2927], [0.5000, 0.5000, 0.7171]],
  "dos_ef_per_ev_fu": 3.1,
  "total_magnetization_mub_per_fu": 0.00,
  "e_form_kj_per_mol_atoms": 20.9
}


Entry 2:
{
  "formula": "Mg2AlAgTe4",
  "functional": "GGA-PBE",
  "state": "relaxed",
  "lattice": [[-3.2385, 3.2385, 6.2841], [3.2385, -3.2385, 6.2841], [3.2385, 3.2385, -6.2841]],
  "species": ["Mg", "Mg", "Al", "Ag", "Te", "Te", "Te", "Te"],
  "fractional_positions": [[0.2500, 0.7500, 0.5000], [0.7500, 0.2500, 0.5000], [0.0000, 0.0000, 0.0000], [0.5000, 0.5000, 0.0000], [0.1174, 0.1174, 0.4757], [0.3583, 0.8826, 0.0000], [0.6417, 0.6417, 0.5243], [0.8826, 0.3583, 0.0000]],
  "energy_ev_per_atom": -3.41,
  "dos_ef_per_ev_fu": 0.0,
  "total_magnetization_mub_per_fu": 0.00
}


Entry 3:
{
  "formula": "Sm4DyTm7",
  "functional": "GGA-PBE",
  "state": "relaxed",
  "lattice": [[6.0202, -2.9141, 0.0000], [6.0202, 2.9141, 0.0000], [-6.0160, 0.0000, 11.1805]],
  "species": ["Sm", "Sm", "Sm", "Sm", "Dy", "Tm", "Tm", "Tm", "Tm", "Tm", "Tm", "Tm"],
  "fractional_positions": [[0.1401, 0.1401, 0.2768], [0.2762, 0.2762, 0.8328], [0.7238, 0.7238, 0.1672], [0.8599, 0.8599, 0.7232], [0.5000, 0.5000, 0.5000], [0.0000, 0.0000, 0.5000], [0.1321, 0.1321, 0.9945], [0.2882, 0.2882, 0.5761], [0.4313, 0.4313, 0.1883], [0.5687, 0.5687, 0.8117], [0.7118, 0.7118, 0.4239], [0.8679, 0.8679, 0.0055]],
  "dos_ef_per_ev_fu": 20.4,
  "total_magnetization_mub_per_fu": 0.02,
  "e_form_kj_per_mol_atoms": 27.2
}


Entry 4:
{
  "formula": "BeIn2HgPt",
  "functional": "GGA-PBE",
  "state": "relaxed",
  "lattice": [[5.2286, 0.0000, 0.0000], [0.0000, 5.2286, 0.0000], [0.0000, 0.0000, 4.4345]],
  "species": ["Be", "In", "In", "Hg", "Pt"],
  "fractional_positions": [[0.0000, 0.0000, 0.0000], [0.0000, 0.5000, 0.5000], [0.5000, 0.0000, 0.5000], [0.5000, 0.5000, 0.0000], [0.0000, 0.0000, 0.5000]],
  "dos_ef_per_ev_fu": 1.2,
  "total_magnetization_mub_per_fu": 0.00,
  "e_form_kj_per_mol_atoms": -6.1
}


Entry 5:
{
  "formula": "Pr8Ni2Ru",
  "functional": "GGA-PBE",
  "state": "relaxed",
  "lattice": [[4.2516, -6.3111, 0.0000], [4.2516, 6.3111, 0.0000], [-2.3102, 0.0000, 6.0987]],
  "species": ["Pr", "Pr", "Pr", "Pr", "Pr", "Pr", "Pr", "Pr", "Ni", "Ni", "Ru"],
  "fractional_positions": [[0.0000, 0.0000, 0.0000], [0.0107, 0.2795, 0.5596], [0.1585, 0.5493, 0.1852], [0.2795, 0.0107, 0.5596], [0.4416, 0.7118, 0.8003], [0.5493, 0.1585, 0.1852], [0.7118, 0.4416, 0.8003], [0.7160, 0.7160, 0.3879], [0.0510, 0.6792, 0.6933], [0.6792, 0.0510, 0.6933], [0.3619, 0.3619, 0.3886]],
  "dos_ef_per_ev_fu": 11.3,
  "total_magnetization_mub_per_fu": 0.00,
  "e_form_kj_per_mol_atoms": -4.8
}


Entry 6:
{
  "formula": "Cs3Na8Ca",
  "functional": "GGA-PBE",
  "state": "relaxed",
  "lattice": [[7.5024, 0.0000, 0.0000], [-3.7512, 6.4973, 0.0000], [0.0000, 0.0000, 12.4804]],
  "species": ["Cs", "Cs", "Cs", "Na", "Na", "Na", "Na", "Na", "Na", "Na", "Na", "Ca"],
  "fractional_positions": [[0.0000, 0.0000, 0.0000], [0.0000, 0.0000, 0.3810], [0.3333, 0.6667, 0.8621], [0.0058, 0.5029, 0.2027], [0.3336, 0.1668, 0.6719], [0.4971, 0.5029, 0.2027], [0.4971, 0.9942, 0.2027], [0.6667, 0.3333, 0.4398], [0.6667, 0.3333, 0.9395], [0.8332, 0.1668, 0.6719], [0.8332, 0.6664, 0.6719], [0.3333, 0.6667, 0.4983]],
  "dos_ef_per_ev_fu": 7.1,
  "total_magnetization_mub_per_fu": 0.00,
  "e_form_kj_per_mol_atoms": 4.4
}


Entry 7:
{
  "formula": "CoBOs2",
  "functional": "GGA-PBE",
  "state": "relaxed",
  "lattice": [[-2.5247, 2.5247, 4.7681], [2.5247, -2.5247, 4.7681], [2.5247, 2.5247, -4.7681]],
  "species": ["Co", "Co", "B", "B", "Os", "Os", "Os", "Os"],
  "fractional_positions": [[0.0000, 0.0000, 0.0000], [0.7500, 0.2500, 0.5000], [0.2500, 0.7500, 0.5000], [0.5000, 0.5000, 0.0000], [0.1632, 0.6250, 0.0382], [0.3750, 0.4132, 0.5382], [0.5868, 0.1250, 0.9618], [0.8750, 0.8368, 0.4618]],
  "dos_ef_per_ev_fu": 4.7,
  "total_magnetization_mub_per_fu": 0.00,
  "e_form_kj_per_mol_atoms": 101.9
}


Entry 8:
{
  "formula": "MgVOs2Cl",
  "functional": "GGA-PBE",
  "state": "relaxed",
  "lattice": [[4.6972, 0.0000, 0.0000], [0.0000, 4.6972, 0.0000], [0.0000, 0.0000, 4.2771]],
  "species": ["Mg", "V", "Os", "Os", "Cl"],
  "fractional_positions": [[0.0000, 0.0000, 0.0000], [0.5000, 0.5000, 0.5000], [0.0000, 0.5000, 0.0000], [0.5000, 0.0000, 0.0000], [0.0000, 0.0000, 0.5000]],
  "energy_ev_per_atom": -4.79,
  "dos_ef_per_ev_fu": 10.6,
  "total_magnetization_mub_per_fu": 0.03
}


Entry 9:
{
  "formula": "ZnCo2Rh",
  "functional": "GGA-PBE",
  "state": "relaxed",
  "lattice": [[3.6135, 0.0000, 0.0000], [0.0000, 3.6135, 0.0000], [0.0000, 0.0000, 3.8806]],
  "species": ["Zn", "Co", "Co", "Rh"],
  "fractional_positions": [[0.0000, 0.0000, 0.0000], [0.0000, 0.5000, 0.5000], [0.5000, 0.0000, 0.5000], [0.5000, 0.5000, 0.0000]],
  "dos_ef_per_ev_fu": 6.5,
  "total_magnetization_mub_per_fu": 4.14,
  "e_form_kj_per_mol_atoms": 0.8
}


Entry 10:
{
  "formula": "CaFe2Bi2",
  "functional": "GGA-PBE",
  "state": "relaxed",
  "lattice": [[-2.5094, 2.5094, 4.6128], [2.5094, -2.5094, 4.6128], [2.5094, 2.5094, -4.6128]],
  "species": ["Ca", "Fe", "Fe", "Bi", "Bi"],
  "fractional_positions": [[0.0000, 0.0000, 0.0000], [0.3831, 0.3831, 0.0000], [0.6169, 0.6169, 0.0000], [0.2500, 0.7500, 0.5000], [0.7500, 0.2500, 0.5000]],
  "dos_ef_per_ev_fu": 4.9,
  "total_magnetization_mub_per_fu": 4.32,
  "e_form_kj_per_mol_atoms": 14.0
}


Entry 11:
{
  "formula": "CeHo6Th2",
  "functional": "GGA-PBE",
  "state": "relaxed",
  "lattice": [[4.5652, -8.6980, 0.0000], [4.5652, 8.6980, 0.0000], [-0.5668, 0.0000, 3.5227]],
  "species": ["Ce", "Ho", "Ho", "Ho", "Ho", "Ho", "Ho", "Th", "Th"],
  "fractional_positions": [[0.0000, 0.0000, 0.0000], [0.1665, 0.5051, 0.1651], [0.3314, 0.3314, 0.6628], [0.4949, 0.8335, 0.8349], [0.5051, 0.1665, 0.1651], [0.6686, 0.6686, 0.3372], [0.8335, 0.4949, 0.8349], [0.1580, 0.8420, 0.5000], [0.8420, 0.1580, 0.5000]],
  "dos_ef_per_ev_fu": 16.7,
  "total_magnetization_mub_per_fu": 0.01,
  "e_form_kj_per_mol_atoms": 12.9
}


Entry 12:
{
  "formula": "Ba3ThTl2O9",
  "functional": "GGA-PBE",
  "state": "relaxed",
  "lattice": [[6.2475, 0.0000, 0.0000], [-3.1238, 5.4105, 0.0000], [0.0000, 0.0000, 7.7393]],
  "species": ["Ba", "Ba", "Ba", "Th", "Tl", "Tl", "O", "O", "O", "O", "O", "O", "O", "O", "O"],
  "fractional_positions": [[0.0000, 0.0000, 0.0000], [0.3333, 0.6667, 0.7056], [0.6667, 0.3333, 0.2944], [0.0000, 0.0000, 0.5000], [0.3333, 0.6667, 0.1687], [0.6667, 0.3333, 0.8313], [0.0000, 0.5000, 0.0000], [0.1645, 0.3290, 0.3262], [0.1645, 0.8355, 0.3262], [0.3290, 0.1645, 0.6738], [0.5000, 0.0000, 0.0000], [0.5000, 0.5000, 0.0000], [0.6710, 0.8355, 0.3262], [0.8355, 0.1645, 0.6738], [0.8355, 0.6710, 0.6738]],
  "energy_ev_per_atom": -6.14,
  "dos_ef_per_ev_fu": 6.4,
  "total_magnetization_mub_per_fu": 0.00
}


Entry 13:
{
  "formula": "LaVN3",
  "functional": "GGA-PBE",
  "state": "relaxed",
  "lattice": [[3.7084, 0.0000, 0.0000], [0.0000, 5.6504, 0.0000], [-1.0320, 0.0000, 5.9673]],
  "species": ["La", "La", "V", "V", "N", "N", "N", "N", "N", "N"],
  "fractional_positions": [[0.0732, 0.0000, 0.2614], [0.9268, 0.5000, 0.7386], [0.4413, 0.0129, 0.7966], [0.5587, 0.5129, 0.2034], [0.0886, 0.5215, 0.3238], [0.3671, 0.6380, 0.4736], [0.4864, 0.7585, 0.0002], [0.5136, 0.2585, 0.9998], [0.6329, 0.1380, 0.5264], [0.9114, 0.0215, 0.6762]],
  "energy_ev_per_atom": -8.76,
  "dos_ef_per_ev_fu": 2.6,
  "total_magnetization_mub_per_fu": 0.55
}


Entry 14:
{
  "formula": "Ta3ZnRe",
  "functional": "GGA-PBE",
  "state": "relaxed",
  "lattice": [[4.8482, 0.0000, 0.0000], [0.0000, 4.8482, 0.0000], [0.0000, 0.0000, 4.8482]],
  "species": ["Ta", "Ta", "Ta", "Zn", "Re"],
  "fractional_positions": [[0.0000, 0.0000, 0.5000], [0.0000, 0.5000, 0.0000], [0.5000, 0.0000, 0.0000], [0.5000, 0.5000, 0.5000], [0.0000, 0.0000, 0.0000]],
  "dos_ef_per_ev_fu": 3.8,
  "total_magnetization_mub_per_fu": 0.00,
  "e_form_kj_per_mol_atoms": 126.7
}


Entry 15:
{
  "formula": "Sm7Er2Tm",
  "functional": "GGA-PBE",
  "state": "relaxed",
  "lattice": [[4.3820, -8.3328, 0.0000], [4.3820, 8.3328, 0.0000], [0.0000, 0.0000, 5.5115]],
  "species": ["Sm", "Sm", "Sm", "Sm", "Sm", "Sm", "Sm", "Er", "Er", "Tm"],
  "fractional_positions": [[0.0000, 0.0000, 0.0000], [0.2102, 0.4333, 0.0000], [0.2909, 0.7091, 0.5000], [0.4333, 0.2102, 0.0000], [0.5667, 0.7898, 0.0000], [0.7091, 0.2909, 0.5000], [0.7898, 0.5667, 0.0000], [0.2048, 0.7952, 0.0000], [0.7952, 0.2048, 0.0000], [0.5000, 0.5000, 0.5000]],
  "dos_ef_per_ev_fu": 14.2,
  "total_magnetization_mub_per_fu": 0.00,
  "e_form_kj_per_mol_atoms": 63.8
}


Entry 16:
{
  "formula": "MgS5Br",
  "functional": "GGA-PBE",
  "state": "relaxed",
  "lattice": [[2.5360, -11.5525, 0.0000], [2.5360, 11.5525, 0.0000], [-1.5156, 0.0000, 3.9778]],
  "species": ["Mg", "S", "S", "S", "S", "S", "Br"],
  "fractional_positions": [[0.0000, 0.0000, 0.0000], [0.3365, 0.4754, 0.1807], [0.5246, 0.6635, 0.8193], [0.5549, 0.1324, 0.2662], [0.7671, 0.2329, 0.0000], [0.8676, 0.4451, 0.7338], [0.0606, 0.9394, 0.5000]],
  "energy_ev_per_atom": -3.75,
  "dos_ef_per_ev_fu": 3.1,
  "total_magnetization_mub_per_fu": 0.00
}


Entry 17:
{
  "formula": "LaLuH2",
  "functional": "GGA-PBE",
  "state": "relaxed",
  "lattice": [[1.7677, 1.0206, 5.8214], [-1.7677, 1.0206, 5.8214], [0.0000, -2.0412, 5.8214]],
  "species": ["La", "Lu", "H", "H"],
  "fractional_positions": [[0.0000, 0.0000, 0.0000], [0.5000, 0.5000, 0.5000], [0.2393, 0.2393, 0.2393], [0.7607, 0.7607, 0.7607]],
  "energy_ev_per_atom": -4.38,
  "dos_ef_per_ev_fu": 2.2,
  "total_magnetization_mub_per_fu": 0.00
}


Entry 18:
{
  "formula": "La6HoCd",
  "functional": "GGA-PBE",
  "state": "relaxed",
  "lattice": [[5.1243, 0.0000, 0.0000], [0.0000, 5.1243, 0.0000], [0.0000, 0.0000, 10.3558]],
  "species": ["La", "La", "La", "La", "La", "La", "Ho", "Cd"],
  "fractional_positions": [[0.0000, 0.0000, 0.0000], [0.0000, 0.0000, 0.5000], [0.0000, 0.5000, 0.2472], [0.0000, 0.5000, 0.7528], [0.5000, 0.0000, 0.2472], [0.5000, 0.0000, 0.7528], [0.5000, 0.5000, 0.5000], [0.5000, 0.5000, 0.0000]],
  "dos_ef_per_ev_fu": 9.7,
  "total_magnetization_mub_per_fu": 0.00,
  "e_form_kj_per_mol_atoms": -5.6
}


Entry 19:
{
  "formula": "Ca2PuAs3Rh4",
  "functional": "GGA-PBE",
  "state": "relaxed",
  "lattice": [[4.1589, 0.0000, 0.0000], [0.0000, 4.1589, 0.0000], [0.0000, 0.0000, 11.1910]],
  "species": ["Ca", "Ca", "Pu", "As", "As", "As", "Rh", "Rh", "Rh", "Rh"],
  "fractional_positions": [[0.0000, 0.5000, 0.2281], [0.5000, 0.0000, 0.7719], [0.0000, 0.0000, 0.5000], [0.0000, 0.5000, 0.8729], [0.5000, 0.0000, 0.1271], [0.5000, 0.5000, 0.5000], [0.0000, 0.0000, 0.0000], [0.0000, 0.5000, 0.6572], [0.5000, 0.0000, 0.3428], [0.5000, 0.5000, 0.0000]],
  "dos_ef_per_ev_fu": 9.1,
  "total_magnetization_mub_per_fu": 4.93,
  "e_form_kj_per_mol_atoms": -74.1
}


Entry 20:
{
  "formula": "Sm2In",
  "functional": "GGA-PBE",
  "state": "relaxed",
  "lattice": [[5.5070, 0.0000, 0.0000], [-2.7535, 4.7692, 0.0000], [0.0000, 0.0000, 6.8531]],
  "species": ["Sm", "Sm", "Sm", "Sm", "In", "In"],
  "fractional_positions": [[0.0000, 0.0000, 0.0000], [0.0000, 0.0000, 0.5000], [0.3333, 0.6667, 0.2500], [0.6667, 0.3333, 0.7500], [0.3333, 0.6667, 0.7500], [0.6667, 0.3333, 0.2500]],
  "dos_ef_per_ev_fu": 4.2,
  "total_magnetization_mub_per_fu": 0.50,
  "e_form_kj_per_mol_atoms": -33.3
}


Entry 21:
{
  "formula": "LaY3H",
  "functional": "GGA-PBE",
  "state": "relaxed",
  "lattice": [[5.0776, 0.0000, 0.0000], [0.0000, 5.0776, 0.0000], [0.0000, 0.0000, 5.0776]],
  "species": ["La", "Y", "Y", "Y", "H"],
  "fractional_positions": [[0.0000, 0.0000, 0.0000], [0.0000, 0.5000, 0.5000], [0.5000, 0.0000, 0.5000], [0.5000, 0.5000, 0.0000], [0.5000, 0.5000, 0.5000]],
  "energy_ev_per_atom": -5.69,
  "dos_ef_per_ev_fu": 3.7,
  "total_magnetization_mub_per_fu": 0.00
}


Entry 22:
{
  "formula": "ZrPd2Pt2",
  "functional": "GGA-PBE",
  "state": "relaxed",
  "lattice": [[6.8914, 0.0000, 0.0000], [0.0000, 6.8914, 0.0000], [0.0000, 0.0000, 3.7134]],
  "species": ["Zr", "Zr", "Pd", "Pd", "Pd", "Pd", "Pt", "Pt", "Pt", "Pt"],
  "fractional_positions": [[0.0000, 0.0000, 0.0000], [0.5000, 0.5000, 0.0000], [0.1611, 0.3389, 0.5000], [0.3389, 0.8389, 0.5000], [0.6611, 0.1611, 0.5000], [0.8389, 0.6611, 0.5000], [0.1366, 0.6366, 0.0000], [0.3634, 0.1366, 0.0000], [0.6366, 0.8634, 0.0000], [0.8634, 0.3634, 0.0000]],
  "dos_ef_per_ev_fu": 2.5,
  "total_magnetization_mub_per_fu": 0.00,
  "e_form_kj_per_mol_atoms": -42.5
}


Entry 23:
{
  "formula": "LaCdPt",
  "functional": "GGA-PBE",
  "state": "relaxed",
  "lattice": [[-1.8185, 1.8185, 5.5111], [1.8185, -1.8185, 5.5111], [1.8185, 1.8185, -5.5111]],
  "species": ["La", "Cd", "Pt"],
  "fractional_positions": [[0.0000, 0.0000, 0.0000], [0.2898, 0.2898, 0.0000], [0.6490, 0.6490, 0.0000]],
  "dos_ef_per_ev_fu": 2.1,
  "total_magnetization_mub_per_fu": 0.00,
  "e_form_kj_per_mol_atoms": -62.7
}


Entry 24:
{
  "formula": "PmZrZnOs",
  "functional": "GGA-PBE",
  "state": "relaxed",
  "lattice": [[0.0000, 3.4420, 3.4420], [3.4420, 0.0000, 3.4420], [3.4420, 3.4420, 0.0000]],
  "species": ["Pm", "Zr", "Zn", "Os"],
  "fractional_positions": [[0.0000, 0.0000, 0.0000], [0.5000, 0.5000, 0.5000], [0.7500, 0.7500, 0.7500], [0.2500, 0.2500, 0.2500]],
  "dos_ef_per_ev_fu": 3.2,
  "total_magnetization_mub_per_fu": 0.00,
  "e_form_kj_per_mol_atoms": -15.0
}


Entry 25:
{
  "formula": "Cs4NaCd2",
  "functional": "GGA-PBE",
  "state": "relaxed",
  "lattice": [[-3.8504, 3.8504, 9.6097], [3.8504, -3.8504, 9.6097], [3.8504, 3.8504, -9.6097]],
  "species": ["Cs", "Cs", "Cs", "Cs", "Na", "Cd", "Cd"],
  "fractional_positions": [[0.0000, 0.5000, 0.5000], [0.2195, 0.2195, 0.0000], [0.5000, 0.0000, 0.5000], [0.7805, 0.7805, 0.0000], [0.0000, 0.0000, 0.0000], [0.4218, 0.4218, 0.0000], [0.5782, 0.5782, 0.0000]],
  "dos_ef_per_ev_fu": 7.5,
  "total_magnetization_mub_per_fu": 0.00,
  "e_form_kj_per_mol_atoms": 9.8
}